A plane-wave DFT calculation with PBE was carried out for a geometry-optimized CuHg4 structure.

Geometry as POSCAR:
```
CuHg4
1.0
-3.2843 1.8443 -10.2577
-5.1053 -1.1616 -9.5914
-6.4467 2.0006 -8.5933
Hg Cu
4 1
Direct
0.7956 0.7956 0.7956
0.2044 0.2044 0.2044
0.6125 0.6125 0.6125
0.3875 0.3875 0.3875
0.0000 0.0000 0.0000
```

Output
Uncorrected energy: -0.92 eV/atom
SG: R-3m